Record 1
DFT (PBE) results for SrAlCd2Ag after structural relaxation.

Cell: 4.4084 4.6364 6.9365 Å, 109.52 108.53 90.00°
Atoms (fractional coordinates):
Cd: 0.6995 0.1995 0.3991
Al: 0.1963 0.6963 0.3926
Ag: 0.8257 0.8257 0.6514
Cd: 0.0520 0.0520 0.1040
Sr: 0.4386 0.4386 0.8771

## Properties
* VASP energy: -2.225 eV/atom
* space-group type: No. 44
* E_form: -0.204 eV per atom



Record 2
DFT (PBE) results for SrAlCd4Ag2 after structural relaxation.

Cell: 4.7293 4.7293 10.2880 Å, 76.71 76.71 60.00°
Atoms (fractional coordinates):
Cd: 0.8713 0.8713 0.3862
Cd: 0.1287 0.1287 0.6138
Cd: 0.5990 0.5990 0.2030
Al: 0.5000 0.5000 0.5000
Ag: 0.2409 0.2409 0.2772
Ag: 0.7591 0.7591 0.7228
Cd: 0.4010 0.4010 0.7970
Sr: 0.0000 0.0000 0.0000

## Properties
* VASP energy: -1.906 eV/atom
* space-group type: No. 166
* E_form: -0.058 eV per atom



Record 3
DFT (PBE) results for Tb4AlCdAg2 after structural relaxation.

Cell: 5.2037 5.2037 9.0270 Å, 73.25 73.25 60.00°
Atoms (fractional coordinates):
Cd: 0.0000 0.0000 0.0000
Tb: 0.1270 0.1270 0.6189
Ag: 0.7493 0.7493 0.7522
Al: 0.5000 0.5000 0.5000
Tb: 0.3771 0.3771 0.8688
Tb: 0.6229 0.6229 0.1312
Tb: 0.8730 0.8730 0.3811
Ag: 0.2507 0.2507 0.2478

## Properties
* VASP energy: -3.928 eV/atom
* space-group type: No. 166
* E_form: -0.317 eV per atom



> The highest VASP energy belongs to which entry?

SrAlCd4Ag2